No. 1
Compound: KRbEr
Source: the Open Quantum Materials Database
Functional: PBE-GGA
Structure: relaxed

Unit cell a=6.6246 b=6.6246 c=6.6246 alpha=60.00 beta=60.00 gamma=60.00
Last column: nearest neighbours and their distance in Å.
Positions (direct):
1 Er 0.0000 0.0000 0.0000  4 K 4.06
2 Rb 0.5000 0.5000 0.5000  4 K 4.06
3 K 0.7500 0.7500 0.7500  4 Rb 4.06, 4 Er 4.06

Properties
E above lowest polymorph: 0.000 eV per atom
Total magnetization: 0.996 μB/f.u.
Space-group type: No. 216

---

No. 2
Compound: Hg2BF5
Source: the Open Quantum Materials Database
Functional: PBE-GGA
Structure: relaxed

Unit cell a=5.2357 b=5.2363 c=5.4541 alpha=62.39 beta=62.39 gamma=72.89
Last column: nearest neighbours and their distance in Å.
Positions (direct):
1 F 0.1326 0.7571 0.0854  1 B 1.40
2 F 0.1733 0.1734 0.6620  1 B 1.44
3 F 0.8546 0.8546 0.6528  2 Hg 2.22
4 F 0.1851 0.1849 0.0743  1 B 1.43
5 B 0.0560 0.0560 0.9845  4 F 1.40-1.44
6 F 0.7571 0.1326 0.0855  1 B 1.40
7 Hg 0.7352 0.3292 0.5047  1 F 2.22
8 Hg 0.3291 0.7352 0.5047  1 F 2.22

Properties
Energy: -32.6 eV/cell
Space-group type: No. 8

---

No. 3
Compound: LaTm2Bi3
Source: the Open Quantum Materials Database
Functional: PBE-GGA
Structure: relaxed

Unit cell a=4.5085 b=4.5085 c=11.0490 alpha=90.00 beta=90.00 gamma=120.00
Last column: nearest neighbours and their distance in Å.
Positions (direct):
1 La 0.0000 0.0000 0.5000  6 Bi 3.29
2 Bi 0.6667 0.3333 0.6817  3 Tm 3.14, 3 La 3.29
3 Tm 0.3333 0.6667 0.8404  6 Bi 3.14
4 Bi 0.3333 0.6667 0.3183  3 Tm 3.14, 3 La 3.29
5 Bi 0.0000 0.0000 0.0000  6 Tm 3.14
6 Tm 0.6667 0.3333 0.1596  6 Bi 3.14

Properties
Energy: -31.3 eV/cell
Total magnetization: 0.004 μB/f.u.
Space-group type: No. 164

---

No. 4
Compound: Hf4Pb3W2N3
Source: the Open Quantum Materials Database
Functional: PBE-GGA
Structure: relaxed

Unit cell a=5.8272 b=5.8272 c=14.3005 alpha=101.43 beta=101.43 gamma=59.57
Last column: nearest neighbours and their distance in Å.
Positions (direct):
1 Pb 0.9063 0.0937 0.7500  4 Hf 3.10, 2 W 3.14, 6 Pb 3.25-3.43
2 N 0.5000 0.0000 0.5000  4 Hf 2.18-2.20, 2 W 2.34
3 Hf 0.8420 0.6979 0.5809  3 N 2.18-2.23
4 N 0.6761 0.1436 0.0000  2 W 2.21, 4 Hf 2.22-2.24
5 Pb 0.5833 0.7407 0.7537  4 Hf 3.05-3.08, 2 W 3.06-3.11, 5 Pb 3.25-3.41
6 Pb 0.4167 0.2593 0.2463  4 Hf 3.05-3.08, 2 W 3.06-3.11, 5 Pb 3.25-3.41
7 Hf 0.1580 0.3021 0.4191  3 N 2.18-2.23
8 Hf 0.9877 0.7909 0.9195  3 N 2.20-2.24
9 N 0.3239 0.8564 0.0000  2 W 2.21, 4 Hf 2.22-2.24
10 W 0.6167 0.4735 0.9275  3 N 2.21-2.34
11 Hf 0.7909 0.9877 0.4195  3 N 2.20-2.24
12 W 0.4735 0.6167 0.4275  3 N 2.21-2.34
13 Hf 0.0123 0.2091 0.0805  3 N 2.20-2.24
14 Hf 0.6979 0.8420 0.0809  3 N 2.18-2.23
15 N 0.0000 0.5000 0.0000  4 Hf 2.18-2.20, 2 W 2.34
16 W 0.3833 0.5265 0.0725  3 N 2.21-2.34
17 Pb 0.0937 0.9063 0.2500  4 Hf 3.10, 2 W 3.14, 6 Pb 3.25-3.43
18 W 0.5265 0.3833 0.5725  3 N 2.21-2.34
19 N 0.8564 0.3239 0.5000  2 W 2.21, 4 Hf 2.22-2.24
20 N 0.1436 0.6761 0.5000  2 W 2.21, 4 Hf 2.22-2.24
21 Hf 0.3021 0.1580 0.9191  3 N 2.18-2.23
22 Hf 0.2091 0.0123 0.5805  3 N 2.20-2.24
23 Pb 0.7407 0.5833 0.2537  4 Hf 3.05-3.08, 2 W 3.06-3.11, 5 Pb 3.25-3.41
24 Pb 0.2593 0.4167 0.7463  4 Hf 3.05-3.08, 2 W 3.06-3.11, 5 Pb 3.25-3.41

Properties
Energy: -213.4 eV/cell
Total magnetization: 0.002 μB/f.u.
Space-group type: No. 15

---

No. 5
Compound: In4CoIr
Source: the Open Quantum Materials Database
Functional: PBE-GGA
Structure: relaxed

Unit cell a=10.5023 b=4.0360 c=5.9266 alpha=90.00 beta=90.00 gamma=90.00
Last column: nearest neighbours and their distance in Å.
Positions (direct):
1 In 0.8917 0.5000 0.3617  2 Co 2.78, 2 In 2.80-2.98, 2 Ir 2.86
2 Co 0.7500 0.0000 0.5624  6 In 2.56-2.78, 1 Ir 2.57
3 Ir 0.7500 0.0000 0.1293  1 Co 2.57, 8 In 2.69-2.86
4 Co 0.2500 0.0000 0.4376  6 In 2.56-2.78, 1 Ir 2.57
5 In 0.6083 0.5000 0.3617  2 Co 2.78, 2 In 2.80-2.98, 2 Ir 2.86
6 Ir 0.2500 0.0000 0.8707  1 Co 2.57, 8 In 2.69-2.86
7 In 0.2500 0.5000 0.1711  2 Co 2.56, 2 Ir 2.69
8 In 0.3917 0.5000 0.6383  2 Co 2.78, 2 In 2.80-2.98, 2 Ir 2.86
9 In 0.7500 0.5000 0.8289  2 Co 2.56, 2 Ir 2.69
10 In 0.0000 0.0000 0.0000  2 Ir 2.74
11 In 0.1083 0.5000 0.6383  2 Co 2.78, 2 In 2.80-2.98, 2 Ir 2.86
12 In 0.5000 0.0000 0.0000  2 Ir 2.74

Properties
E above lowest polymorph: 0.000 eV per atom
Total magnetization: 0.071 μB/f.u.
Space-group type: No. 51

---

No. 6
Compound: Ta2Ga3W4C3
Source: the Open Quantum Materials Database
Functional: PBE-GGA
Structure: relaxed

Unit cell a=5.3811 b=5.3811 c=13.5731 alpha=101.39 beta=101.39 gamma=60.04
Last column: nearest neighbours and their distance in Å.
Positions (direct):
1 Ga 0.9448 0.0552 0.2500  4 W 2.76-2.77, 2 Ta 2.82, 4 Ga 2.99
2 Ta 0.6379 0.4684 0.4048  3 C 2.17-2.18
3 Ga 0.2255 0.4156 0.2509  4 W 2.77-2.78, 2 Ta 2.81-2.82, 4 Ga 2.99
4 W 0.1928 0.0324 0.0860  3 C 2.13-2.14
5 W 0.6945 0.8663 0.5861  3 C 2.14
6 C 0.8247 0.3369 0.9999  4 W 2.13-2.14, 2 Ta 2.17
7 Ga 0.7745 0.5844 0.7491  4 W 2.77-2.78, 2 Ta 2.81-2.82, 4 Ga 2.99
8 C 0.0000 0.5000 0.5000  4 W 2.13-2.14, 2 Ta 2.18
9 Ga 0.0552 0.9448 0.7500  4 W 2.76-2.77, 2 Ta 2.82, 4 Ga 2.99
10 W 0.9676 0.8072 0.4140  3 C 2.13-2.14
11 Ta 0.3621 0.5316 0.5952  3 C 2.17-2.18
12 W 0.0324 0.1928 0.5860  3 C 2.13-2.14
13 C 0.1753 0.6631 0.0001  4 W 2.13-2.14, 2 Ta 2.17
14 C 0.3369 0.8247 0.4999  4 W 2.13-2.14, 2 Ta 2.17
15 W 0.3055 0.1337 0.4139  3 C 2.14
16 Ga 0.5844 0.7745 0.2491  4 W 2.77-2.78, 2 Ta 2.81-2.82, 4 Ga 2.99
17 W 0.8663 0.6945 0.0861  3 C 2.14
18 W 0.1337 0.3055 0.9139  3 C 2.14
19 C 0.6631 0.1753 0.5001  4 W 2.13-2.14, 2 Ta 2.17
20 Ta 0.5316 0.3621 0.0952  3 C 2.17-2.18
21 Ta 0.4684 0.6379 0.9048  3 C 2.17-2.18
22 W 0.8072 0.9676 0.9140  3 C 2.13-2.14
23 C 0.5000 0.0000 0.0000  4 W 2.13-2.14, 2 Ta 2.18
24 Ga 0.4156 0.2255 0.7509  4 W 2.77-2.78, 2 Ta 2.81-2.82, 4 Ga 2.99

Properties
Energy: -227.7 eV/cell
Total magnetization: 0.003 μB/f.u.
Space-group type: No. 15

---

No. 7
Compound: Ag3H13SeN4O5
Source: the Open Quantum Materials Database
Functional: PBE-GGA
Structure: relaxed

Unit cell a=6.2760 b=11.2891 c=14.2377 alpha=90.00 beta=90.00 gamma=90.00
Last column: nearest neighbours and their distance in Å.
Positions (direct):
1 H 0.4283 0.9214 0.8533  1 O 1.00
2 N 0.7723 0.0785 0.9817  3 H 1.02-1.03
3 H 0.4127 0.8488 0.6525  1 N 1.03
4 H 0.6070 0.0744 0.7734  1 N 1.02
5 H 0.8816 0.9004 0.4646  1 N 1.02
6 H 0.4188 0.7089 0.7743  1 N 1.03
7 O 0.0498 0.4542 0.6796  1 H 1.63, 1 Se 1.68
8 H 0.3440 0.4568 0.0773  1 N 1.03
9 Ag 0.2080 0.4556 0.4037  2 N 2.14
10 Se 0.6744 0.1754 0.3027  3 O 1.68-1.69, 1 N 1.75
11 H 0.9283 0.5786 0.1467  1 O 1.00
12 H 0.3224 0.3431 0.2463  1 N 1.03
13 H 0.0812 0.2911 0.2743  1 N 1.03
14 H 0.9127 0.6512 0.3475  1 N 1.03
15 O 0.1805 0.8090 0.4278  2 H 1.00-1.01
16 N 0.7270 0.3674 0.8821  3 H 1.03
17 O 0.9502 0.9542 0.8204  1 H 1.63, 1 Se 1.68
18 H 0.6776 0.8431 0.2537  1 N 1.03
19 H 0.3502 0.1737 0.1536  1 N 1.03
20 H 0.2773 0.8346 0.5503  1 N 1.03
21 H 0.3437 0.3427 0.0002  1 N 1.03
22 H 0.8437 0.1573 0.9998  1 N 1.03
23 H 0.9188 0.7911 0.2257  1 N 1.03
24 Ag 0.7865 0.5508 0.8854  2 N 2.10
25 H 0.8440 0.0432 0.9227  1 N 1.03
26 H 0.8930 0.9256 0.2734  1 N 1.02
27 Ag 0.7920 0.9556 0.0963  2 N 2.14
28 H 0.5873 0.3488 0.8475  1 N 1.03
29 N 0.7277 0.9215 0.4817  3 H 1.02-1.03
30 O 0.0605 0.2528 0.7878  2 H 1.67-1.77, 1 Se 1.68
31 N 0.8313 0.7339 0.9024  1 Se 1.75
32 O 0.4502 0.5458 0.1796  1 H 1.63, 1 Se 1.68
33 O 0.8195 0.3090 0.0722  2 H 1.00-1.01
34 H 0.3816 0.5996 0.5354  1 N 1.02
35 Ag 0.4192 0.2496 0.4995  2 N 2.10-2.11
36 O 0.5731 0.8554 0.7707  1 H 1.66, 1 Se 1.69
37 H 0.7290 0.2784 0.1245  1 O 1.00
38 H 0.7710 0.7216 0.6245  1 O 1.00
39 Ag 0.7135 0.4492 0.3854  2 N 2.10
40 H 0.7773 0.6654 0.4497  1 N 1.03
41 H 0.7227 0.3346 0.9497  1 N 1.03
42 H 0.1851 0.9515 0.8696  1 O 1.00
43 H 0.0717 0.0786 0.3533  1 O 1.00
44 H 0.6560 0.9568 0.4227  1 N 1.03
45 H 0.8149 0.4515 0.6304  1 O 1.00
46 H 0.3930 0.5744 0.7266  1 N 1.02
47 O 0.3195 0.1910 0.9278  2 H 1.00-1.01
48 Se 0.3256 0.6754 0.1973  3 O 1.68-1.69, 1 N 1.75
49 Se 0.8256 0.8246 0.8027  3 O 1.68-1.69, 1 N 1.75
50 H 0.6851 0.5485 0.1304  1 O 1.00
51 N 0.2730 0.8674 0.6179  3 H 1.03
52 O 0.1703 0.0396 0.3990  2 H 1.00
53 H 0.0873 0.1512 0.1525  1 N 1.03
54 N 0.6687 0.2661 0.4024  1 Se 1.75
55 N 0.7730 0.6326 0.3821  3 H 1.03
56 H 0.2710 0.7784 0.3755  1 O 1.00
57 H 0.6563 0.8427 0.4998  1 N 1.03
58 H 0.3267 0.1036 0.9142  1 O 1.01
59 N 0.6746 0.1337 0.7279  3 H 1.02-1.03
60 O 0.5605 0.2472 0.2122  2 H 1.67-1.77, 1 Se 1.68
61 N 0.8254 0.8663 0.2279  3 H 1.02-1.03
62 H 0.6498 0.6737 0.3464  1 N 1.03
63 Ag 0.9192 0.2504 0.5005  2 N 2.10-2.11
64 O 0.8297 0.5396 0.1010  2 H 1.00
65 Ag 0.2865 0.9492 0.1146  2 N 2.10
66 O 0.0731 0.6446 0.2293  1 H 1.66, 1 Se 1.69
67 H 0.5717 0.4214 0.6467  1 O 1.00
68 H 0.5812 0.2089 0.7257  1 N 1.03
69 N 0.2723 0.4215 0.0183  3 H 1.02-1.03
70 O 0.6805 0.6910 0.5722  2 H 1.00-1.01
71 O 0.5498 0.0458 0.3204  1 H 1.63, 1 Se 1.68
72 O 0.4269 0.3554 0.7293  1 H 1.66, 1 Se 1.69
73 O 0.9269 0.1446 0.2707  1 H 1.66, 1 Se 1.69
74 Se 0.1744 0.3246 0.6973  3 O 1.68-1.69, 1 N 1.75
75 H 0.1184 0.4004 0.0354  1 N 1.02
76 N 0.2277 0.5785 0.5183  3 H 1.02-1.03
77 N 0.1687 0.2339 0.5976  1 Se 1.75
78 Ag 0.0808 0.7504 0.9995  2 N 2.10-2.11
79 Ag 0.7080 0.0444 0.5963  2 N 2.14
80 Ag 0.2135 0.0508 0.6146  2 N 2.10
81 O 0.6703 0.4604 0.6010  2 H 1.00
82 N 0.3254 0.6337 0.7721  3 H 1.02-1.03
83 O 0.3297 0.9604 0.8990  2 H 1.00
84 N 0.1746 0.3663 0.2721  3 H 1.02-1.03
85 Ag 0.5808 0.7496 0.0005  2 N 2.10-2.11
86 H 0.8267 0.3964 0.0858  1 O 1.01
87 Ag 0.2920 0.5444 0.9037  2 N 2.14
88 O 0.9395 0.7528 0.7122  2 H 1.67-1.77, 1 Se 1.68
89 H 0.1776 0.6569 0.7463  1 N 1.03
90 H 0.2227 0.1654 0.0503  1 N 1.03
91 H 0.1563 0.6573 0.5002  1 N 1.03
92 O 0.4395 0.7472 0.2878  2 H 1.67-1.77, 1 Se 1.68
93 H 0.1560 0.5432 0.5773  1 N 1.03
94 N 0.2270 0.1326 0.1179  3 H 1.03
95 H 0.8224 0.1569 0.7537  1 N 1.03
96 N 0.3313 0.7661 0.0976  1 Se 1.75
97 H 0.1733 0.8964 0.4142  1 O 1.01
98 H 0.6733 0.6036 0.5858  1 O 1.01
99 H 0.1498 0.8263 0.6536  1 N 1.03
100 H 0.2290 0.2216 0.8755  1 O 1.00
101 H 0.1070 0.4256 0.2266  1 N 1.02
102 H 0.8502 0.3263 0.8464  1 N 1.03
103 H 0.3149 0.0485 0.3696  1 O 1.00
104 H 0.6184 0.0996 0.9646  1 N 1.02

Properties
Energy: -502.4 eV/cell
Space-group type: No. 19

---

No. 8
Compound: YGe2Au
Source: the Open Quantum Materials Database
Functional: PBE-GGA
Structure: relaxed

Unit cell a=4.9381 b=4.9381 c=4.9381 alpha=60.00 beta=60.00 gamma=60.00
Last column: nearest neighbours and their distance in Å.
Positions (direct):
1 Ge 0.2500 0.2500 0.2500  4 Au 3.02, 4 Ge 3.02
2 Y 0.7500 0.7500 0.7500  4 Au 3.02, 4 Ge 3.02
3 Ge 0.0000 0.0000 0.0000  4 Ge 3.02, 4 Y 3.02
4 Au 0.5000 0.5000 0.5000  4 Y 3.02, 4 Ge 3.02

Properties
Energy: -20.3 eV/cell
Total magnetization: 0.001 μB/f.u.
Space-group type: No. 216

---

No. 9
Compound: CsBaPm
Source: the Open Quantum Materials Database
Functional: PBE-GGA
Structure: relaxed

Unit cell a=6.7063 b=6.7063 c=6.7063 alpha=60.00 beta=60.00 gamma=60.00
Last column: nearest neighbours and their distance in Å.
Positions (direct):
1 Pm 0.0000 0.0000 0.0000  4 Cs 4.11, 4 Ba 4.11
2 Cs 0.7500 0.7500 0.7500  4 Pm 4.11
3 Ba 0.2500 0.2500 0.2500  4 Pm 4.11

Properties
E above lowest polymorph: 0.000 eV per atom
Total magnetization: 2.974 μB/f.u.
Space-group type: No. 216

---

No. 10
Compound: ZrBrCl2
Source: the Open Quantum Materials Database
Functional: PBE-GGA
Structure: relaxed

Unit cell a=6.1470 b=6.7768 c=6.7768 alpha=120.88 beta=90.00 gamma=90.00
Last column: nearest neighbours and their distance in Å.
Positions (direct):
1 Cl 0.5000 0.0087 0.3124  2 Zr 2.55
2 Cl 0.5000 0.6926 0.6926  2 Zr 2.55
3 Br 0.0000 0.0005 0.6758  2 Zr 2.72
4 Zr 0.2587 0.0021 0.0021  4 Cl 2.55-2.58, 2 Br 2.72
5 Zr 0.7413 0.0021 0.0021  4 Cl 2.55-2.58, 2 Br 2.72
6 Br 0.0000 0.6758 0.0005  2 Zr 2.72
7 Cl 0.5000 0.3124 0.0087  2 Zr 2.55
8 Cl 0.0000 0.3058 0.3058  2 Zr 2.58

Properties
Energy: -40.7 eV/cell
Total magnetization: 0.006 μB/f.u.
Space-group type: No. 38

---

No. 11
Compound: KTbAlS3
Source: the Open Quantum Materials Database
Functional: PBE-GGA
Structure: relaxed

Unit cell a=10.9210 b=4.1736 c=12.0695 alpha=90.00 beta=90.00 gamma=90.00
Last column: nearest neighbours and their distance in Å.
Positions (direct):
1 Tb 0.5306 0.2500 0.1655  7 S 2.85-3.05
2 K 0.1652 0.2500 0.9973  7 S 3.19-3.33, 3 Al 3.48-3.53
3 S 0.9396 0.2500 0.8265  1 Al 2.25
4 S 0.6094 0.2500 0.9341  1 Al 2.31
5 S 0.1094 0.2500 0.5659  1 Al 2.31
6 S 0.5604 0.7500 0.3265  1 Al 2.25
7 S 0.8906 0.7500 0.4341  1 Al 2.31
8 Al 0.2391 0.2500 0.7170  4 S 2.25-2.34
9 K 0.8348 0.7500 0.0027  7 S 3.19-3.33, 3 Al 3.48-3.53
10 S 0.0604 0.7500 0.1735  1 Al 2.25
11 S 0.3906 0.7500 0.0659  1 Al 2.31
12 S 0.7938 0.2500 0.2010  2 Al 2.34
13 Al 0.7609 0.7500 0.2830  4 S 2.25-2.34
14 S 0.2062 0.7500 0.7990  2 Al 2.34
15 K 0.6652 0.2500 0.5027  7 S 3.19-3.33, 3 Al 3.48-3.53
16 S 0.4396 0.2500 0.6735  1 Al 2.25
17 Al 0.7391 0.2500 0.7830  4 S 2.25-2.34
18 Tb 0.4694 0.7500 0.8345  7 S 2.85-3.05
19 Tb 0.0306 0.2500 0.3345  7 S 2.85-3.05
20 K 0.3348 0.7500 0.4973  7 S 3.19-3.33, 3 Al 3.48-3.53
21 Al 0.2609 0.7500 0.2170  4 S 2.25-2.34
22 S 0.7062 0.7500 0.7010  2 Al 2.34
23 S 0.2938 0.2500 0.2990  2 Al 2.34
24 Tb 0.9694 0.7500 0.6655  7 S 2.85-3.05

Properties
E above lowest polymorph: 0.006 eV per atom
Total magnetization: 0.473 μB/f.u.
Space-group type: No. 62

---

No. 12
Compound: ErAg
Source: the Open Quantum Materials Database
Functional: PBE-GGA
Structure: relaxed

Unit cell a=4.5539 b=4.5539 c=4.5539 alpha=60.00 beta=60.00 gamma=60.00
Last column: nearest neighbours and their distance in Å.
Positions (direct):
1 Ag 0.0000 0.0000 0.0000  4 Er 2.79
2 Er 0.2500 0.2500 0.2500  4 Ag 2.79

Properties
Total magnetization: 0.001 μB/f.u.
Energy of formation: 0.92 eV per formula unit
Space-group type: No. 216